A geometry-optimized Dy5ErHg2 structure. Source: the Alexandria database, functional PBE.

Calculated values
ΔE_f   -150 meV per atom
Calculated total energy   -3.67 eV/atom
Size of the total moment   0.0000 μB per atom
Fermi-level density of states   15.16 states/eV per cell
Space group   Immm, No. 71

a b c (Å): 3.6484 10.2926 12.2841
angles (deg): 90.00 90.00 90.00
Atoms (fractional coordinates):
Dy (0.0000, 0.0000, 0.0000)
Dy (0.0000, 0.2753, 0.3638)
Dy (0.0000, 0.2753, 0.6362)
Dy (0.0000, 0.7247, 0.3638)
Dy (0.0000, 0.7247, 0.6362)
Dy (0.5000, 0.2247, 0.1362)
Dy (0.5000, 0.2247, 0.8638)
Dy (0.5000, 0.5000, 0.5000)
Dy (0.5000, 0.7753, 0.1362)
Dy (0.5000, 0.7753, 0.8638)
Er (0.0000, 0.5000, 0.0000)
Er (0.5000, 0.0000, 0.5000)
Hg (0.0000, 0.0000, 0.2671)
Hg (0.0000, 0.0000, 0.7329)
Hg (0.5000, 0.5000, 0.2329)
Hg (0.5000, 0.5000, 0.7671)